Entry 1:
A relaxed TbDy2Mg3Ir2Pt crystal, computed with PBE.

Properties
Theoretical density = 10.06 g/cm³
M_tot = 0.01 μB/f.u.
VASP energy = -5.479 eV/atom

Unit cell a=4.0417 b=7.3218 c=7.3218 alpha=120.00 beta=90.00 gamma=90.00
Element x y z (fractional)
Dy 0.0000 0.0000 0.4133
Mg 0.5000 0.0000 0.7528
Mg 0.5000 0.7528 0.0000
Dy 0.0000 0.4133 0.0000
Tb 0.0000 0.5866 0.5866
Ir 0.5000 0.3332 0.6667
Pt 0.0000 0.0001 0.0001
Ir 0.5000 0.6667 0.3332
Mg 0.5000 0.2471 0.2471

Entry 2:
A relaxed TbErGa2Ni4 crystal, computed with PBE.

Properties
Theoretical density = 8.90 g/cm³
M_tot = 0.00 μB/f.u.
VASP energy = -5.264 eV/atom

Unit cell a=4.1438 b=4.1438 c=8.7907 alpha=90.00 beta=90.00 gamma=120.00
Element x y z (fractional)
Tb 0.3333 0.6667 0.5000
Ni 0.0000 0.0000 0.3123
Er 0.0000 0.0000 0.0000
Ni 0.0000 0.0000 0.6877
Ni 0.3333 0.6667 0.8190
Ga 0.6667 0.3333 0.2470
Ga 0.6667 0.3333 0.7530
Ni 0.3333 0.6667 0.1810

Entry 3:
A relaxed ZrGe4Pd3 crystal, computed with PBE.

Properties
Theoretical density = 8.28 g/cm³
M_tot = 0.00 μB/f.u.
VASP energy = -5.715 eV/atom

Unit cell a=6.1837 b=3.3595 c=6.7727 alpha=90.00 beta=91.20 gamma=90.00
Element x y z (fractional)
Pd 0.4989 0.0000 0.8108
Ge 0.1827 0.5000 0.9212
Zr 0.5093 0.5000 0.1933
Pd 0.9984 0.5000 0.3075
Ge 0.8368 0.0000 0.0507
Ge 0.3005 0.0000 0.4513
Ge 0.6834 0.5000 0.5720
Pd 0.9901 0.0000 0.6933

Entry 4:
A relaxed Hf4CuC2S crystal, computed with PBE.

Properties
Theoretical density = 11.33 g/cm³
M_tot = 0.12 μB/f.u.
VASP energy = -9.149 eV/atom

Unit cell a=3.3195 b=3.3195 c=12.8003 alpha=90.00 beta=90.00 gamma=120.00
Element x y z (fractional)
S 0.0000 0.0000 0.5000
Hf 0.0000 0.0000 0.8373
Cu 0.6667 0.3333 0.0000
Hf 0.6667 0.3333 0.6419
C 0.3333 0.6667 0.7384
Hf 0.6667 0.3333 0.3581
Hf 0.0000 0.0000 0.1627
C 0.3333 0.6667 0.2616

Entry 5:
A relaxed LuTeAuO crystal, computed with PBE.

Properties
Theoretical density = 11.51 g/cm³
M_tot = 0.00 μB/f.u.
VASP energy = -5.545 eV/atom

Unit cell a=7.8116 b=6.2150 c=6.1264 alpha=90.00 beta=90.84 gamma=90.00
Element x y z (fractional)
Te 0.1890 0.0795 0.8025
Lu 0.4123 0.9855 0.2499
Au 0.1019 0.7007 0.9946
O 0.4909 0.7401 0.0026
Te 0.8110 0.9205 0.1975
Au 0.1019 0.7993 0.4946
Lu 0.5877 0.0145 0.7501
Te 0.8110 0.5795 0.6975
Te 0.1890 0.4205 0.3025
Au 0.8981 0.2007 0.5054
O 0.4909 0.7599 0.5026
Lu 0.5877 0.4855 0.2501
O 0.5091 0.2599 0.9974
Au 0.8981 0.2993 0.0054
O 0.5091 0.2401 0.4974
Lu 0.4123 0.5145 0.7499

Entry 6:
A relaxed NbTlGa crystal, computed with PBE.

Properties
Theoretical density = 9.22 g/cm³
M_tot = 1.74 μB/f.u.
VASP energy = -4.502 eV/atom

Unit cell a=4.5381 b=4.5381 c=4.5381 alpha=60.00 beta=60.00 gamma=60.00
Element x y z (fractional)
Tl 0.7500 0.7500 0.7500
Nb 0.2500 0.2500 0.2500
Ga 0.0000 0.0000 0.0000